[1]
DFT (PBE) results for a relaxed CsKP2O crystal.

abc: 5.8308 5.8308 4.6892
angles: 90.00 90.00 90.00
Sites, in units of the cell vectors:
Cs 0.0000 0.0000 0.0000
K 0.5000 0.5000 0.5000
P 0.0000 0.5000 0.0000
P 0.5000 0.0000 0.0000
O 0.0000 0.0000 0.5000

## Properties
distance to the lowest polymorph of the same formula	158	meV per atom
E_form (uncorrected)	946	meV per atom
space group	No. 123
E	-2.600	eV per atom
DOS(E_F)	1.37	states/eV per cell

=====

[2]
DFT (PBE) results for a relaxed Cd5Te crystal.

abc: 6.1465 6.1465 4.8382
angles: 90.00 90.00 120.00
Sites, in units of the cell vectors:
Cd 0.0000 0.5000 0.0000
Cd 0.3333 0.6667 0.5000
Cd 0.5000 0.0000 0.0000
Cd 0.5000 0.5000 0.0000
Cd 0.6667 0.3333 0.5000
Te 0.0000 0.0000 0.5000

## Properties
distance to the lowest polymorph of the same formula	126	meV per atom
E_form (uncorrected)	144	meV per atom
space group	No. 191
E	-1.142	eV per atom
DOS(E_F)	4.87	states/eV per cell

=====

[3]
DFT (PBE) results for a relaxed HfSnP2Cl crystal.

abc: 5.0550 5.0550 4.8943
angles: 90.00 90.00 90.00
Sites, in units of the cell vectors:
Hf 0.0000 0.0000 0.0000
Sn 0.5000 0.5000 0.5000
P 0.0000 0.5000 0.0000
P 0.5000 0.0000 0.0000
Cl 0.0000 0.0000 0.5000

## Properties
distance to the lowest polymorph of the same formula	0	meV per atom
E_form (uncorrected)	-249	meV per atom
space group	No. 123
E	-5.573	eV per atom
DOS(E_F)	2.94	states/eV per cell

=====

[4]
DFT (PBE) results for a relaxed ReAuSe2 crystal.

abc: 12.2474 12.2474 12.2474
angles: 13.20 13.20 13.20
Sites, in units of the cell vectors:
Re 0.0000 0.0000 0.0000
Au 0.5000 0.5000 0.5000
Se 0.0684 0.0684 0.0684
Se 0.9316 0.9316 0.9316

## Properties
distance to the lowest polymorph of the same formula	320	meV per atom
E_form (uncorrected)	433	meV per atom
space group	No. 166
E	-5.240	eV per atom
DOS(E_F)	3.56	states/eV per cell

=====

[5]
DFT (PBE) results for a relaxed CaPt3N crystal.

abc: 4.3087 4.3087 4.3087
angles: 90.00 90.00 90.00
Sites, in units of the cell vectors:
Ca 0.0000 0.0000 0.0000
Pt 0.0000 0.5000 0.5000
Pt 0.5000 0.0000 0.5000
Pt 0.5000 0.5000 0.0000
N 0.5000 0.5000 0.5000

## Properties
distance to the lowest polymorph of the same formula	0	meV per atom
E_form (uncorrected)	-37	meV per atom
space group	No. 221
E	-5.727	eV per atom
DOS(E_F)	3.49	states/eV per cell

=====

[6]
DFT (PBE) results for a relaxed BeTc3Pb crystal.

abc: 4.2920 4.2920 4.2920
angles: 90.00 90.00 90.00
Sites, in units of the cell vectors:
Be 0.0000 0.0000 0.0000
Tc 0.0000 0.0000 0.5000
Tc 0.0000 0.5000 0.0000
Tc 0.5000 0.0000 0.0000
Pb 0.5000 0.5000 0.5000

## Properties
distance to the lowest polymorph of the same formula	0	meV per atom
energy relative to the elements	718	meV/atom
space group	No. 221
E	-6.988	eV per atom
DOS(E_F)	6.13	states/eV per cell

=====

What is the DOS(E_F) in the fourth record?
3.56 states/eV per cell

=====

Look up the DOS(E_F) of the third one.
2.94 states/eV per cell

=====

Which of these has the highest DOS(E_F)?
BeTc3Pb